The following is a DFT calculation (PBE-GGA) of crystalline Zr2HgW at its relaxed geometry.

Properties
Calculated density: 11.84 g/cm³
DFT total energy: -7.23 eV per atom
Energy of formation: 0.360 eV/atom

Lattice parameters (Å, degrees): 6.826 6.826 6.826 90.00 90.00 90.00
Space group F-43m (No. 216)
Symmetry-distinct sites (fractional):
Zr1 0.000 0.000 0.000 [4 per cell]
Zr2 0.250 0.250 0.250 [4 per cell]
Hg1 0.000 0.000 0.500 [4 per cell]
W1 0.250 0.250 0.750 [4 per cell]

The following is a DFT calculation (PBE-GGA) of crystalline ZrHgW3 at its relaxed geometry.

Properties
Calculated density: 12.33 g/cm³
DFT total energy: -7.03 eV per atom
Distance to the lowest polymorph of the same formula: 0 meV/atom
Energy of formation: 2.512 eV/atom

Lattice parameters (Å, degrees): 4.842 4.842 4.842 90.00 90.00 90.00
Space group Pm-3m (No. 221)
Symmetry-distinct sites (fractional):
Zr1 0.000 0.000 0.000 [1 per cell]
Hg1 0.500 0.500 0.500 [1 per cell]
W1 0.000 0.000 0.500 [3 per cell]

The following is a DFT calculation (PBE-GGA) of crystalline Zr4HgW at its relaxed geometry.

Properties
Calculated density: 9.76 g/cm³
DFT total energy: -7.34 eV per atom
Energy of formation: 0.565 eV/atom

Lattice parameters (Å, degrees): 7.988 7.988 7.988 90.00 90.00 90.00
Space group F-43m (No. 216)
Symmetry-distinct sites (fractional):
Zr1 0.123 0.123 0.377 [16 per cell]
Hg1 0.000 0.000 0.000 [4 per cell]
W1 0.250 0.250 0.750 [4 per cell]

The following is a DFT calculation (PBE-GGA) of crystalline ZrHg2W at its relaxed geometry.

Properties
Calculated density: 14.15 g/cm³
DFT total energy: -5.02 eV per atom
Energy of formation: 0.510 eV/atom

Lattice parameters (Å, degrees): 3.655 3.655 5.938 90.00 90.00 90.00
Space group P4/mmm (No. 123)
Symmetry-distinct sites (fractional):
Zr1 0.000 0.000 0.000 [1 per cell]
Hg1 0.500 0.500 0.259 [2 per cell]
W1 0.000 0.000 0.500 [1 per cell]

The following is a DFT calculation (PBE-GGA) of crystalline ZrHg2W at its relaxed geometry.

Properties
Calculated density: 13.77 g/cm³
DFT total energy: -5.14 eV per atom
Energy of formation: 0.386 eV/atom

Lattice parameters (Å, degrees): 3.593 3.593 6.319 90.00 90.00 90.00
Space group P4mm (No. 99)
Symmetry-distinct sites (fractional):
Zr1 0.000 0.000 0.000 [1 per cell]
Hg1 0.000 0.000 0.535 [1 per cell]
Hg2 0.500 0.500 0.280 [1 per cell]
W1 0.500 0.500 0.793 [1 per cell]

The following is a DFT calculation (PBE-GGA) of crystalline ZrHg2W at its relaxed geometry.

Properties
Calculated density: 13.82 g/cm³
DFT total energy: -5.09 eV per atom
Energy of formation: 0.432 eV/atom

Lattice parameters (Å, degrees): 3.253 5.072 9.851 90.00 90.00 90.00
Space group Imm2 (No. 44)
Symmetry-distinct sites (fractional):
Zr1 0.000 0.000 0.000 [2 per cell]
Hg1 0.000 0.000 0.530 [2 per cell]
Hg2 0.000 0.500 0.772 [2 per cell]
W1 0.000 0.500 0.274 [2 per cell]